# 1
Here is SmCdGe after structural relaxation from OQMD. Energies are from PBE.

a b c (Å): 4.945 4.945 4.945
angles (deg): 60.00 60.00 60.00
Element x y z (fractional)
Cd (0.250, 0.250, 0.250)
Ge (0.750, 0.750, 0.750)
Sm (0.000, 0.000, 0.000)

Summary:
The space-group type is F-43m, No. 216. The value obtained for the total energy is -3.5164 eV per atom.

# 2
Here is HgAuSeO after structural relaxation from OQMD. Energies are from PBE.

a b c (Å): 6.487 7.744 6.511
angles (deg): 90.00 96.73 90.00
Element x y z (fractional)
Au (0.559, 0.620, 0.231)
Au (0.441, 0.120, 0.269)
Au (0.559, 0.880, 0.731)
Au (0.441, 0.380, 0.769)
Hg (0.913, 0.259, 0.002)
Hg (0.087, 0.759, 0.498)
Hg (0.913, 0.241, 0.502)
Hg (0.087, 0.741, 0.998)
O (0.622, 0.360, 0.070)
O (0.378, 0.860, 0.430)
O (0.622, 0.140, 0.570)
O (0.378, 0.640, 0.930)
Se (0.754, 0.893, 0.082)
Se (0.246, 0.393, 0.418)
Se (0.754, 0.607, 0.582)
Se (0.246, 0.107, 0.918)

Summary:
The space-group type is P2_1/c, No. 14. The value obtained for the total energy is -2.9583 eV per atom.

# 3
Here is PaAsIrO after structural relaxation from OQMD. Energies are from PBE.

a b c (Å): 4.342 4.342 7.056
angles (deg): 90.00 90.00 90.00
Element x y z (fractional)
As (0.000, 0.500, 0.234)
As (0.500, 0.000, 0.766)
Ir (0.500, 0.000, 0.112)
Ir (0.000, 0.500, 0.888)
O (0.000, 0.000, 0.000)
O (0.500, 0.500, 0.000)
Pa (0.000, 0.000, 0.500)
Pa (0.500, 0.500, 0.500)

Summary:
The space-group type is P4/nmm, No. 129. The value obtained for the total energy is -6.3185 eV per atom.

# 4
Here is Mg2ScNi after structural relaxation from OQMD. Energies are from PBE.

a b c (Å): 4.671 4.671 4.671
angles (deg): 60.00 60.00 60.00
Element x y z (fractional)
Mg (0.500, 0.500, 0.500)
Mg (0.750, 0.750, 0.750)
Ni (0.250, 0.250, 0.250)
Sc (0.000, 0.000, 0.000)

Summary:
The space-group type is F-43m, No. 216. The value obtained for the total energy is -3.8587 eV per atom.

# 5
Here is Cu3P after structural relaxation from OQMD. Energies are from PBE.

a b c (Å): 6.959 6.959 7.147
angles (deg): 90.00 90.00 120.00
Element x y z (fractional)
Cu (0.000, 0.000, 0.000)
Cu (0.931, 0.615, 0.079)
Cu (0.385, 0.316, 0.079)
Cu (0.684, 0.069, 0.079)
Cu (0.333, 0.667, 0.173)
Cu (0.667, 0.333, 0.327)
Cu (0.316, 0.385, 0.421)
Cu (0.615, 0.931, 0.421)
Cu (0.069, 0.684, 0.421)
Cu (0.000, 0.000, 0.500)
Cu (0.931, 0.316, 0.579)
Cu (0.385, 0.069, 0.579)
Cu (0.684, 0.615, 0.579)
Cu (0.333, 0.667, 0.673)
Cu (0.667, 0.333, 0.827)
Cu (0.316, 0.931, 0.921)
Cu (0.615, 0.684, 0.921)
Cu (0.069, 0.385, 0.921)
P (0.679, 0.679, 0.250)
P (0.000, 0.321, 0.250)
P (0.321, 0.000, 0.250)
P (0.321, 0.321, 0.750)
P (0.679, 0.000, 0.750)
P (0.000, 0.679, 0.750)

Summary:
The space-group type is P-3c1, No. 165. The value obtained for the total energy is -4.1203 eV per atom.

# 6
Here is LaZrAsO after structural relaxation from OQMD. Energies are from PBE.

a b c (Å): 4.285 4.285 9.191
angles (deg): 90.00 90.00 90.00
Element x y z (fractional)
As (0.500, 0.000, 0.315)
As (0.000, 0.500, 0.685)
La (0.000, 0.500, 0.121)
La (0.500, 0.000, 0.879)
O (0.000, 0.000, 0.000)
O (0.500, 0.500, 0.000)
Zr (0.000, 0.000, 0.500)
Zr (0.500, 0.500, 0.500)

Summary:
The space-group type is P4/nmm, No. 129. The value obtained for the total energy is -7.8071 eV per atom.

# 7
Here is ErMg6Hg after structural relaxation from OQMD. Energies are from PBE.

a b c (Å): 6.572 6.572 5.095
angles (deg): 90.00 90.00 120.00
Element x y z (fractional)
Er (0.000, 0.000, 0.000)
Hg (0.667, 0.333, 0.500)
Mg (0.006, 0.503, 0.000)
Mg (0.497, 0.503, 0.000)
Mg (0.497, 0.994, 0.000)
Mg (0.169, 0.338, 0.500)
Mg (0.169, 0.831, 0.500)
Mg (0.662, 0.831, 0.500)

Summary:
The space-group type is P-6m2, No. 187. The value obtained for the total energy is -1.7965 eV per atom.

# 8
Here is ErInFe after structural relaxation from OQMD. Energies are from PBE.

a b c (Å): 4.582 4.582 4.582
angles (deg): 60.00 60.00 60.00
Each line ends with the local moment (μB).
Element x y z (fractional)
Er (0.250, 0.250, 0.250)  -0.21
Fe (0.000, 0.000, 0.000)  1.66
In (0.750, 0.750, 0.750)  -0.08

Summary:
The space-group type is F-43m, No. 216. The value obtained for the total energy is -5.0591 eV per atom.

# 9
Here is CsTmCdS3 after structural relaxation from OQMD. Energies are from PBE.

a b c (Å): 15.775 4.124 10.949
angles (deg): 90.00 90.00 90.00
Element x y z (fractional)
Cd (0.981, 0.250, 0.104)
Cd (0.481, 0.250, 0.396)
Cd (0.519, 0.750, 0.604)
Cd (0.019, 0.750, 0.896)
Cs (0.758, 0.750, 0.047)
Cs (0.258, 0.750, 0.453)
Cs (0.742, 0.250, 0.547)
Cs (0.242, 0.250, 0.953)
S (0.581, 0.250, 0.078)
S (0.078, 0.750, 0.125)
S (0.375, 0.250, 0.227)
S (0.875, 0.250, 0.273)
S (0.578, 0.750, 0.375)
S (0.081, 0.250, 0.422)
S (0.919, 0.750, 0.578)
S (0.422, 0.250, 0.625)
S (0.125, 0.750, 0.727)
S (0.625, 0.750, 0.773)
S (0.922, 0.250, 0.875)
S (0.419, 0.750, 0.922)
Tm (0.479, 0.750, 0.145)
Tm (0.979, 0.750, 0.355)
Tm (0.021, 0.250, 0.645)
Tm (0.521, 0.250, 0.855)

Summary:
The space-group type is Pnma, No. 62. The value obtained for the total energy is -4.5142 eV per atom.

# 10
Here is HfCoSn2 after structural relaxation from OQMD. Energies are from PBE.

a b c (Å): 4.811 4.811 4.811
angles (deg): 60.00 60.00 60.00
Element x y z (fractional)
Co (0.250, 0.250, 0.250)
Hf (0.500, 0.500, 0.500)
Sn (0.000, 0.000, 0.000)
Sn (0.750, 0.750, 0.750)

Summary:
The space-group type is F-43m, No. 216. The value obtained for the total energy is -6.0214 eV per atom.

# 11
Here is Nb3ZnS after structural relaxation from OQMD. Energies are from PBE.

a b c (Å): 4.570 4.570 4.570
angles (deg): 90.00 90.00 90.00
Element x y z (fractional)
Nb (0.500, 0.500, 0.000)
Nb (0.500, 0.000, 0.500)
Nb (0.000, 0.500, 0.500)
S (0.500, 0.500, 0.500)
Zn (0.000, 0.000, 0.000)

Summary:
The space-group type is Pm-3m, No. 221. The value obtained for the total energy is -6.9310 eV per atom.

# 12
Here is MgGeOs2 after structural relaxation from OQMD. Energies are from PBE.

a b c (Å): 4.406 4.406 4.406
angles (deg): 60.00 60.00 60.00
Element x y z (fractional)
Ge (0.500, 0.500, 0.500)
Mg (0.250, 0.250, 0.250)
Os (0.000, 0.000, 0.000)
Os (0.750, 0.750, 0.750)

Summary:
The space-group type is F-43m, No. 216. The value obtained for the total energy is -6.7521 eV per atom.